Material: Ti2H2Pt
Method: DFT, PBE
State: optimized geometry

Output
The offset from the most stable computed form comes out at 76.5 meV per atom. Its density of states at the Fermi level is 0.422 states/eV per atom. The total energy comes out at -62.79 eV for the cell shown. As for the space group: P-1 (2). The calculation puts the spin magnetization at 0.00 μB/f.u. The density comes out at 9.31 g cm⁻³.

a = 5.357 Å, b = 5.530 Å, c = 5.017 Å
α = 72.71°, β = 57.75°, γ = 56.22°
Fractional coordinates of all 10 atoms:
Ti1 0.527 0.750 0.945
Ti2 0.825 0.250 0.352
Ti3 0.473 0.250 0.055
Ti4 0.175 0.750 0.648
H1 0.447 0.504 0.285
H2 0.732 0.004 0.714
H3 0.268 0.996 0.286
H4 0.553 0.496 0.715
Pt1 0.857 0.750 0.286
Pt2 0.143 0.250 0.714